1.
The following is a DFT calculation (GGA-PBE) of an optimized crystal structure of TlFe3P5.

abc: 4.8397 4.8397 7.4433
angles: 90.00 90.00 120.00
Element x y z (fractional)
P: 0.3333 0.6667 0.2603
P: 0.6667 0.3333 0.2603
P: 0.3333 0.6667 0.7397
P: 0.6667 0.3333 0.7397
P: 0.0000 0.0000 0.5000
Fe: 0.5000 0.0000 0.5000
Fe: 0.5000 0.5000 0.5000
Fe: 0.0000 0.5000 0.5000
Tl: 0.0000 0.0000 0.0000


2.
The following is a DFT calculation (GGA-PBE) of an optimized crystal structure of Tm2Fe12P7.

abc: 8.9284 3.6145 8.9284
angles: 90.00 120.00 90.00
Element x y z (fractional)
P: 0.1158 0.0000 0.7042
P: 0.8868 0.5000 0.2897
P: 0.5884 0.0000 0.8842
P: 0.4029 0.5000 0.1133
P: 0.2958 0.0000 0.4116
P: 0.7104 0.5000 0.5971
P: 0.0000 0.0000 0.0000
Fe: 0.8808 0.0000 0.7245
Fe: 0.0558 0.0000 0.4280
Fe: 0.8437 0.0000 0.1192
Fe: 0.6160 0.5000 0.0486
Fe: 0.4326 0.5000 0.3840
Fe: 0.1203 0.5000 0.9042
Fe: 0.0958 0.5000 0.2162
Fe: 0.7839 0.5000 0.8797
Fe: 0.5720 0.0000 0.6278
Fe: 0.3722 0.0000 0.9442
Fe: 0.2755 0.0000 0.1562
Fe: 0.9514 0.5000 0.5674
Tm: 0.3333 0.5000 0.6666
Tm: 0.6667 0.0000 0.3333


3.
The following is a DFT calculation (GGA-PBE) of an optimized crystal structure of TmFe4P2.

abc: 6.9663 6.9663 3.5899
angles: 90.00 90.00 90.00
Element x y z (fractional)
P: 0.2801 0.7199 0.0000
P: 0.7199 0.2801 0.0000
P: 0.7801 0.7801 0.5000
P: 0.2199 0.2199 0.5000
Fe: 0.1567 0.4183 0.0000
Fe: 0.6567 0.0817 0.5000
Fe: 0.0817 0.6567 0.5000
Fe: 0.8433 0.5817 0.0000
Fe: 0.9183 0.3433 0.5000
Fe: 0.4183 0.1567 0.0000
Fe: 0.3433 0.9183 0.5000
Fe: 0.5817 0.8433 0.0000
Tm: 0.0000 0.0000 0.0000
Tm: 0.5000 0.5000 0.5000


4.
The following is a DFT calculation (GGA-PBE) of an optimized crystal structure of U6Fe30P19.

abc: 14.5629 14.5629 3.5848
angles: 90.00 90.00 120.00
Element x y z (fractional)
P: 0.0384 0.7688 0.5000
P: 0.5422 0.0797 0.5000
P: 0.6037 0.7052 0.0000
P: 0.2312 0.2696 0.5000
P: 0.4104 0.2038 0.0000
P: 0.2948 0.8985 0.0000
P: 0.9035 0.8879 0.0000
P: 0.7304 0.9616 0.5000
P: 0.9203 0.4625 0.5000
P: 0.7962 0.2066 0.0000
P: 0.2208 0.6502 0.5000
P: 0.9843 0.0965 0.0000
P: 0.3498 0.5706 0.5000
P: 0.5375 0.4578 0.5000
P: 0.1015 0.3963 0.0000
P: 0.6667 0.3333 0.0000
P: 0.1121 0.0157 0.0000
P: 0.4294 0.7792 0.5000
P: 0.7934 0.5896 0.0000
Fe: 0.6334 0.1730 0.0000
Fe: 0.8270 0.4604 0.0000
Fe: 0.7423 0.8682 0.0000
Fe: 0.4029 0.9174 0.5000
Fe: 0.4341 0.0637 0.0000
Fe: 0.8971 0.6061 0.5000
Fe: 0.7718 0.3046 0.5000
Fe: 0.9363 0.3703 0.0000
Fe: 0.7090 0.1029 0.5000
Fe: 0.9314 0.7519 0.0000
Fe: 0.3939 0.2910 0.5000
Fe: 0.5907 0.7982 0.5000
Fe: 0.6954 0.4672 0.5000
Fe: 0.3184 0.7606 0.0000
Fe: 0.6297 0.5659 0.0000
Fe: 0.2018 0.7925 0.5000
Fe: 0.5145 0.5971 0.5000
Fe: 0.0826 0.4855 0.5000
Fe: 0.5328 0.2282 0.5000
Fe: 0.2394 0.5577 0.0000
Fe: 0.4423 0.6816 0.0000
Fe: 0.5396 0.3666 0.0000
Fe: 0.0932 0.1092 0.5000
Fe: 0.1318 0.8741 0.0000
Fe: 0.8205 0.0686 0.0000
Fe: 0.2481 0.1795 0.0000
Fe: 0.1259 0.2577 0.0000
Fe: 0.0160 0.9068 0.5000
Fe: 0.2075 0.4093 0.5000
Fe: 0.8908 0.9840 0.5000
U: 0.3714 0.4324 0.0000
U: 0.9609 0.2340 0.5000
U: 0.2731 0.0391 0.5000
U: 0.7660 0.7269 0.5000
U: 0.0610 0.6286 0.0000
U: 0.5676 0.9390 0.0000


What calculated total energy values result from the calculations? In sequence: -6.037 -7.702 -7.638 -8.354 eV per atom.